Entry 1:
Li4AcAu (PBE-GGA, relaxed); mass density = 6.18 g/cm3; ΔH_f (0 K) = -0.16 eV/atom; crystal system = cubic; energy above the lowest structure with this stoichiometry = 0.44 eV/f.u.; SG = F-43m (216)
1.0
0.000 3.930 3.930
3.930 0.000 3.930
3.930 3.930 0.000
Li Ac Au
4 1 1
Direct
0.379 0.379 0.379
0.379 0.379 0.864
0.379 0.864 0.379
0.864 0.379 0.379
0.000 0.000 0.000
0.750 0.750 0.750

Entry 2:
Ca3ZnI (PBE-GGA, relaxed); mass density = 2.69 g/cm3; crystal system = cubic; energy above the lowest structure with this stoichiometry = 0.00 eV/f.u.; formation energy (no corrections) = -143 kJ/mol of formula units; SG = Pm-3m (221)
1.0
5.777 0.000 0.000
0.000 5.777 0.000
0.000 0.000 5.777
Ca Zn I
3 1 1
Direct
0.000 0.000 0.500
0.000 0.500 0.000
0.500 0.000 0.000
0.000 0.000 0.000
0.500 0.500 0.500

Entry 3:
YCu5Cl12 (PBE-GGA, relaxed); mass density = 2.63 g/cm3; crystal system = monoclinic; formation energy (no corrections) = -1512 kJ/mol of formula units; SG = C2/m (12)
1.0
4.164 -5.022 0.000
4.164 5.022 0.000
-2.929 0.000 12.572
Y Cu Cl
1 5 12
Direct
0.000 0.000 0.000
0.167 0.833 0.500
0.330 0.670 0.000
0.500 0.500 0.500
0.670 0.330 0.000
0.833 0.167 0.500
0.131 0.131 0.607
0.184 0.802 0.861
0.198 0.816 0.139
0.200 0.533 0.395
0.336 0.336 0.050
0.467 0.800 0.605
0.533 0.200 0.395
0.664 0.664 0.950
0.800 0.467 0.605
0.802 0.184 0.861
0.816 0.198 0.139
0.869 0.869 0.393

no.,final energy (Ry per atom),D(E_F) (states/eV per atom),size of the total moment (μB per formula unit)
1,-0.1957,0.53,0.00
2,-0.1516,0.98,0.00
3,-0.2645,0.46,3.91